Record 1
Computed, not measured: a relaxed structure of Na3PmTm2Se6 at the PBE level of DFT.

```
12
Lattice="3.5931 -6.2246 0.0000 3.5931 6.2246 0.0000 -2.3999 0.0000 7.0079" Properties=species:S:1:pos:R:3 pbc="T T T"
Na 0.0000 0.0000 0.0000
Na 3.5931 2.0557 0.0000
Na 3.5931 -2.0557 0.0000
Pm 2.3931 0.0000 3.5039
Tm 2.3931 4.1462 3.5039
Tm 2.3931 -4.1462 3.5039
Se 1.1616 2.1328 1.8988
Se -0.0708 0.0000 5.1124
Se 1.1616 -2.1328 1.8988
Se 3.6247 2.1328 5.1090
Se 4.8571 0.0000 1.8954
Se 3.6247 -2.1328 5.1090
```

Values from the calculation:
Formation energy from raw total energies (eV per atom): -1.69
VASP energy (eV/cell): -58.9
SG: C2/m, No. 12
Total magnetic moment (μB per formula unit): 0.0

Record 2
Computed, not measured: a relaxed structure of Ac3La2Ag3 at the PBE level of DFT.

```
8
Lattice="-1.9710 2.8556 11.6469 1.9710 -2.8556 11.6469 1.9710 2.8556 -11.6469" Properties=species:S:1:pos:R:3 pbc="T T T"
Ac 0.0000 0.0000 0.0000
Ac 1.9710 0.0000 8.8509
Ac 0.0000 2.8556 2.7960
La 0.0000 0.0000 5.4028
La 0.0000 0.0000 17.8911
Ag 1.9710 0.0000 2.8211
Ag 0.0000 0.0000 11.6469
Ag 0.0000 2.8556 8.8259
```

Values from the calculation:
ΔH_f (0 K) (kJ/mol of atoms): -17.43
VASP energy (eV/cell): -32.2
SG: Immm, No. 71
Total magnetic moment (μB per formula unit): 0.0

Record 3
Computed, not measured: a relaxed structure of CdPbSeO5 at the PBE level of DFT.

```
16
Lattice="4.1232 -4.2467 0.0000 4.1232 4.2467 0.0000 -3.9046 0.0000 7.2381" Properties=species:S:1:pos:R:3 pbc="T T T"
Cd 1.1947 3.7068 5.4286
Cd 3.1470 -3.7068 1.8095
Pb 2.0616 2.1234 0.0000
Pb 0.1093 -2.1234 3.6191
Se 1.1947 0.4953 5.4286
Se 3.1470 -0.4953 1.8095
O 3.1470 2.5591 1.8095
O 1.7170 0.0215 0.3502
O -0.2353 -0.0215 3.9693
O 0.2721 1.6975 6.2682
O 2.1173 1.6975 4.5890
O 2.2244 -1.6975 2.6491
O 4.0696 -1.6975 0.9699
O 4.5770 0.0215 3.2689
O 2.6247 -0.0215 6.8879
O 1.1947 -2.5591 5.4286
```

Values from the calculation:
Formation energy from raw total energies (eV per atom): -0.76
VASP energy (eV/cell): -77.9
SG: C2/c, No. 15
Total magnetic moment (μB per formula unit): 0.0

Record 4
Computed, not measured: a relaxed structure of Ho2MnGa3Ir4 at the PBE level of DFT.

```
10
Lattice="4.0841 0.0000 0.0000 0.0000 4.0841 0.0000 0.0000 0.0000 10.8099" Properties=species:S:1:pos:R:3 pbc="T T T"
Ho 0.0000 2.0420 2.6045
Ho 2.0420 0.0000 8.2054
Mn 0.0000 0.0000 5.4049
Ga 0.0000 2.0420 9.3863
Ga 2.0420 0.0000 1.4235
Ga 2.0420 2.0420 5.4049
Ir 0.0000 0.0000 0.0000
Ir 0.0000 2.0420 6.9342
Ir 2.0420 0.0000 3.8756
Ir 2.0420 2.0420 0.0000
```

Values from the calculation:
ΔH_f (0 K) (kJ/mol of atoms): -59.64
VASP energy (eV/cell): -69.0
SG: P-4m2, No. 115
Total magnetic moment (μB per formula unit): 3.8

Record 5
Computed, not measured: a relaxed structure of CaY3Co at the PBE level of DFT.

```
10
Lattice="7.1758 -1.8419 0.0000 7.1758 1.8419 0.0000 -0.6613 0.0000 11.2229" Properties=species:S:1:pos:R:3 pbc="T T T"
Ca 2.3069 0.0000 1.0816
Ca 11.3834 0.0000 10.1414
Y 0.6922 0.0000 4.3523
Y 2.6160 0.0000 7.2058
Y 6.1437 0.0000 1.9164
Y 7.5466 0.0000 9.3065
Y 11.0743 0.0000 4.0171
Y 12.9981 0.0000 6.8707
Co 5.7768 0.0000 4.6472
Co 7.9135 0.0000 6.5758
```

Values from the calculation:
ΔH_f (0 K) (kJ/mol of atoms): -4.58
VASP energy (eV/cell): -57.5
ΔE to the lowest computed polymorph (meV/atom): 7
SG: C2/m, No. 12
Total magnetic moment (μB per formula unit): 0.0

Record 6
Computed, not measured: a relaxed structure of HoAgHg at the PBE level of DFT.

```
3
Lattice="0.0000 3.3800 3.3800 3.3800 0.0000 3.3800 3.3800 3.3800 0.0000" Properties=species:S:1:pos:R:3 pbc="T T T"
Ho 0.0000 0.0000 0.0000
Ag 1.6900 1.6900 1.6900
Hg 3.3800 3.3800 3.3800
```

Values from the calculation:
ΔH_f (0 K) (kJ/mol of atoms): -16.66
VASP energy (eV/cell): -8.2
SG: F-43m, No. 216
Total magnetic moment (μB per formula unit): 0.0

Record 7
Computed, not measured: a relaxed structure of CoCN at the PBE level of DFT.

```
3
Lattice="2.5437 0.0000 0.0000 0.0000 4.0439 0.0000 -0.0298 0.0000 3.0629" Properties=species:S:1:pos:R:3 pbc="T T T"
Co 0.0000 0.0000 0.0000
C 1.2719 2.6178 0.0000
N 1.2719 1.3917 0.0000
```

Values from the calculation:
Formation energy from raw total energies (eV per atom): 0.42
VASP energy (eV/cell): -23.4
ΔE to the lowest computed polymorph (meV/atom): 53
SG: P2, No. 3
Total magnetic moment (μB per formula unit): 0.7

Record 8
Computed, not measured: a relaxed structure of LaTm5Th2 at the PBE level of DFT.

```
8
Lattice="-1.7625 5.5740 6.5703 1.7625 -5.5740 6.5703 1.7625 5.5740 -6.5703" Properties=species:S:1:pos:R:3 pbc="T T T"
La 0.0000 0.0000 0.0000
Tm 1.7625 3.0616 -1.7440
Tm 1.7625 3.0616 1.7440
Tm 0.0000 5.5740 0.0000
Tm 0.0000 2.5124 4.8263
Tm 0.0000 2.5124 8.3143
Th 1.7625 0.0000 3.1260
Th 0.0000 5.5740 3.4442
```

Values from the calculation:
ΔH_f (0 K) (kJ/mol of atoms): 8.52
VASP energy (eV/cell): -41.4
SG: Immm, No. 71
Total magnetic moment (μB per formula unit): 0.0

Record 9
Computed, not measured: a relaxed structure of BaCaAc2 at the PBE level of DFT.

```
8
Lattice="7.0272 0.0000 0.0000 0.0000 4.0546 0.0000 -2.3185 0.0000 13.3458" Properties=species:S:1:pos:R:3 pbc="T T T"
Ba 0.6203 1.0136 1.7343
Ba 4.0885 3.0409 11.6114
Ca 0.6067 1.0136 11.6410
Ca 4.1020 3.0409 1.7048
Ac -0.5751 3.0409 5.1067
Ac 1.7538 3.0409 8.2704
Ac 2.9549 1.0136 5.0754
Ac 5.2838 1.0136 8.2391
```

Values from the calculation:
ΔH_f (0 K) (kJ/mol of atoms): 3.70
VASP energy (eV/cell): -24.0
ΔE to the lowest computed polymorph (meV/atom): 0
SG: P2_1/m, No. 11
Total magnetic moment (μB per formula unit): 0.0

Record 10
Computed, not measured: a relaxed structure of CrInSnAu2 at the PBE level of DFT.

```
5
Lattice="5.1796 0.0000 0.0000 0.0000 5.1796 0.0000 0.0000 0.0000 5.6707" Properties=species:S:1:pos:R:3 pbc="T T T"
Cr 0.0000 0.0000 0.0000
In 2.5898 2.5898 0.0000
Sn 2.5898 2.5898 2.8353
Au 0.0000 2.5898 2.8353
Au 2.5898 0.0000 2.8353
```

Values from the calculation:
ΔH_f (0 K) (kJ/mol of atoms): 77.45
VASP energy (eV/cell): -18.9
SG: P4/mmm, No. 123
Total magnetic moment (μB per formula unit): 5.1

Record 11
Computed, not measured: a relaxed structure of BeSi2Ru at the PBE level of DFT.

```
4
Lattice="1.5184 -2.2797 0.0000 1.5184 2.2797 0.0000 0.0000 0.0000 7.4889" Properties=species:S:1:pos:R:3 pbc="T T T"
Be 0.0000 0.0000 0.0000
Si 0.0000 0.0000 3.8975
Si 1.5184 0.0000 1.7931
Ru 1.5184 0.0000 5.7618
```

Values from the calculation:
Formation energy from raw total energies (eV per atom): 0.22
VASP energy (eV/cell): -23.0
SG: Cmm2, No. 35
Total magnetic moment (μB per formula unit): 0.0

Record 12
Computed, not measured: a relaxed structure of NdHoPt2 at the PBE level of DFT.

```
4
Lattice="2.0642 1.1918 6.7225 -2.0642 1.1918 6.7225 0.0000 -2.3835 6.7225" Properties=species:S:1:pos:R:3 pbc="T T T"
Nd 0.0000 0.0000 0.0000
Ho 0.0000 0.0000 10.0837
Pt 0.0000 0.0000 4.9470
Pt 0.0000 0.0000 15.2204
```

Values from the calculation:
ΔH_f (0 K) (kJ/mol of atoms): -105.96
VASP energy (eV/cell): -25.8
ΔE to the lowest computed polymorph (meV/atom): 113
SG: R-3m, No. 166
Total magnetic moment (μB per formula unit): 0.0

Record 13
Computed, not measured: a relaxed structure of Nd3SbO3 at the PBE level of DFT.

```
14
Lattice="3.4779 2.0079 7.6147 -3.4779 2.0079 7.6147 0.0000 -4.0159 7.6147" Properties=species:S:1:pos:R:3 pbc="T T T"
Nd -1.2409 -2.1147 9.1095
Nd -2.4519 0.0173 13.7347
Nd -1.2109 2.1320 9.1095
Nd 1.2109 -2.1320 13.7347
Nd 2.4518 -0.0173 9.1095
Nd 1.2409 2.1147 13.7347
Sb 0.0000 0.0000 3.8055
Sb 0.0000 0.0000 19.0387
O -2.2171 0.0395 8.5242
O -1.1428 -1.9003 14.3201
O 1.0743 -1.9399 8.5242
O -1.0743 1.9399 14.3200
O 1.1428 1.9003 8.5242
O 2.2171 -0.0395 14.3200
```

Values from the calculation:
Formation energy from raw total energies (eV per atom): -2.62
VASP energy (eV/cell): -103.3
SG: R-3, No. 148
Total magnetic moment (μB per formula unit): 0.0